Record 1
A relaxed structure of BaErGa2Au5. Source: Alexandria via LeMat-Bulk, functional PBE.

CIF file:
```
data_BaErGa2Au5
_chemical_formula_sum 'Ba1 Er1 Ga2 Au5'
_space_group_name_H-M_alt 'P 4/m m m'
_space_group_IT_number 123
_space_group_name_Hall '-P 4 2'
_cell_length_a 5.037
_cell_length_b 5.037
_cell_length_c 8.888
_cell_angle_alpha 90.00
_cell_angle_beta 90.00
_cell_angle_gamma 90.00
loop_
_atom_site_label
_atom_site_type_symbol
_atom_site_fract_x
_atom_site_fract_y
_atom_site_fract_z
_atom_site_occupancy
Ba1 Ba 0.000 0.000 0.000 1
Er1 Er 0.000 0.000 0.500 1
Ga1 Ga 0.500 0.500 0.290 1
Au1 Au 0.000 0.500 0.324 1
Au2 Au 0.500 0.500 0.000 1
```

Calculated values
E_form = -0.508 eV/atom
final energy = -3.722 eV per atom
volume = 25.05 Å³ per atom
total magnetization = 0.00 μB/atom

***

Record 2
A relaxed structure of BaErGa2Au2. Source: Alexandria via LeMat-Bulk, functional PBE.

CIF file:
```
data_BaErGa2Au2
_chemical_formula_sum 'Ba1 Er1 Ga2 Au2'
_space_group_name_H-M_alt 'P -3 m 1'
_space_group_IT_number 164
_space_group_name_Hall '-P 3 2"'
_cell_length_a 4.6359
_cell_length_b 4.6359
_cell_length_c 7.9740
_cell_angle_alpha 90.00
_cell_angle_beta 90.00
_cell_angle_gamma 120.00
loop_
_atom_site_label
_atom_site_type_symbol
_atom_site_fract_x
_atom_site_fract_y
_atom_site_fract_z
_atom_site_occupancy
Ba1 Ba 0.0000 0.0000 0.0000 1
Er1 Er 0.0000 0.0000 0.5000 1
Ga1 Ga 0.3333 0.6667 0.3083 1
Au1 Au 0.3333 0.6667 0.6864 1
```

Calculated values
E_form = -0.729 eV/atom
final energy = -3.911 eV per atom
volume = 24.74 Å³ per atom
total magnetization = 0.00 μB/atom

***

Record 3
A relaxed structure of BaLi2ErAu4. Source: Alexandria via LeMat-Bulk, functional PBE.

CIF file:
```
data_BaLi2ErAu4
_chemical_formula_sum 'Ba3 Li6 Er3 Au12'
_space_group_name_H-M_alt 'R -3 m'
_space_group_IT_number 166
_space_group_name_Hall '-R 3 2"'
_cell_length_a 4.6012
_cell_length_b 4.6012
_cell_length_c 30.3526
_cell_angle_alpha 90.00
_cell_angle_beta 90.00
_cell_angle_gamma 120.00
loop_
_atom_site_label
_atom_site_type_symbol
_atom_site_fract_x
_atom_site_fract_y
_atom_site_fract_z
_atom_site_occupancy
Ba1 Ba 0.0000 0.0000 0.0000 1
Li1 Li 0.0000 0.0000 0.2390 1
Er1 Er 0.0000 0.0000 0.5000 1
Au1 Au 0.0000 0.0000 0.1185 1
Au2 Au 0.0000 0.0000 0.4038 1
```

Calculated values
E_form = -0.668 eV/atom
final energy = -3.596 eV per atom
volume = 23.19 Å³ per atom
total magnetization = 0.00 μB/atom

***

Record 4
A relaxed structure of BaErMg2Au4. Source: Alexandria via LeMat-Bulk, functional PBE.

CIF file:
```
data_BaErMg2Au4
_chemical_formula_sum 'Ba3 Er3 Mg6 Au12'
_space_group_name_H-M_alt 'R -3 m'
_space_group_IT_number 166
_space_group_name_Hall '-R 3 2"'
_cell_length_a 4.7594
_cell_length_b 4.7594
_cell_length_c 29.6425
_cell_angle_alpha 90.00
_cell_angle_beta 90.00
_cell_angle_gamma 120.00
loop_
_atom_site_label
_atom_site_type_symbol
_atom_site_fract_x
_atom_site_fract_y
_atom_site_fract_z
_atom_site_occupancy
Ba1 Ba 0.0000 0.0000 0.0000 1
Er1 Er 0.0000 0.0000 0.5000 1
Mg1 Mg 0.0000 0.0000 0.2367 1
Au1 Au 0.0000 0.0000 0.1218 1
Au2 Au 0.0000 0.0000 0.4031 1
```

Calculated values
E_form = -0.695 eV/atom
final energy = -3.543 eV per atom
volume = 24.23 Å³ per atom
total magnetization = 0.00 μB/atom

***

Record 5
A relaxed structure of BaEr2Au2O6. Source: Alexandria via LeMat-Bulk, functional PBE.

CIF file:
```
data_BaEr2Au2O6
_chemical_formula_sum 'Ba1 Er2 Au2 O6'
_space_group_name_H-M_alt 'P -1'
_space_group_IT_number 2
_space_group_name_Hall '-P 1'
_cell_length_a 6.303
_cell_length_b 6.526
_cell_length_c 6.751
_cell_angle_alpha 79.91
_cell_angle_beta 62.19
_cell_angle_gamma 70.69
loop_
_atom_site_label
_atom_site_type_symbol
_atom_site_fract_x
_atom_site_fract_y
_atom_site_fract_z
_atom_site_occupancy
Ba1 Ba 0.000 0.000 0.000 1
Er1 Er 0.316 0.000 0.367 1
Au1 Au 0.188 0.500 0.623 1
O1 O 0.061 0.829 0.629 1
O2 O 0.314 0.170 0.620 1
O3 O 0.470 0.894 0.003 1
```

Calculated values
final energy = -6.377 eV per atom
volume = 21.07 Å³ per atom
total magnetization = 0.00 μB/atom

***

Record 6
A relaxed structure of BaEr4Au3O12. Source: Alexandria via LeMat-Bulk, functional PBE.

CIF file:
```
data_BaEr4Au3O12
_chemical_formula_sum 'Ba2 Er8 Au6 O24'
_space_group_name_H-M_alt 'I m -3'
_space_group_IT_number 204
_space_group_name_Hall '-I 2 2 3'
_cell_length_a 8.296
_cell_length_b 8.296
_cell_length_c 8.296
_cell_angle_alpha 90.00
_cell_angle_beta 90.00
_cell_angle_gamma 90.00
loop_
_atom_site_label
_atom_site_type_symbol
_atom_site_fract_x
_atom_site_fract_y
_atom_site_fract_z
_atom_site_occupancy
Ba1 Ba 0.000 0.000 0.000 1
Er1 Er 0.250 0.250 0.250 1
Au1 Au 0.000 0.000 0.500 1
O1 O 0.000 0.162 0.315 1
```

Calculated values
final energy = -6.591 eV per atom
volume = 14.27 Å³ per atom
total magnetization = 0.00 μB/atom